The following is a PBE calculation of a relaxed structure of HfSi2Ru, from Alexandria via LeMat-Bulk.

Results
**Total energy**: -7.655 eV/atom
**Symmetry**: I-42d (122)

Cell lengths 9.377, 9.377, 9.377 Å; angles 156.03, 156.03, 34.15 degrees
Positions (direct):
Hf: 0.000 0.000 0.000
Hf: 0.750 0.250 0.500
Si: 0.183 0.625 0.058
Si: 0.375 0.433 0.558
Si: 0.567 0.125 0.942
Si: 0.875 0.817 0.442
Ru: 0.250 0.750 0.500
Ru: 0.500 0.500 0.000

The following is a PBE calculation of a relaxed structure of LaCrSe2, from Alexandria via LeMat-Bulk.

Results
**Total energy**: -6.358 eV/atom
**Energy above the lowest structure with this stoichiometry**: 126 meV per atom
**Symmetry**: Immm (71)

Cell lengths 5.321, 5.321, 5.321 Å; angles 136.49, 113.61, 82.78 degrees
Positions (direct):
La: 0.000 0.000 0.000
Cr: 0.500 0.500 0.000
Se: 0.302 0.802 0.500
Se: 0.698 0.198 0.500

The following is a PBE calculation of a relaxed structure of SbTePdI2, from Alexandria via LeMat-Bulk.

Results
**Total energy**: -2.840 eV/atom
**Energy above the lowest structure with this stoichiometry**: 20 meV per atom
**Symmetry**: P4/mmm (123)

Cell lengths 5.381, 5.381, 5.396 Å; angles 90.00, 90.00, 90.00 degrees
Positions (direct):
Sb: 0.000 0.000 0.000
Te: 0.500 0.500 0.000
Pd: 0.000 0.000 0.500
I: 0.000 0.500 0.500
I: 0.500 0.000 0.500

The following is a PBE calculation of a relaxed structure of Y6Cu5Au, from Alexandria via LeMat-Bulk.

Results
**Total energy**: -5.559 eV/atom
**Calculated formation energy**: -0.347 eV/atom
**Symmetry**: Cmmm (65)

Cell lengths 7.870, 7.870, 6.983 Å; angles 90.00, 90.00, 143.18 degrees
Positions (direct):
Y: 0.000 0.000 0.246
Y: 0.000 0.000 0.754
Y: 0.332 0.668 0.247
Y: 0.332 0.668 0.753
Y: 0.668 0.332 0.247
Y: 0.668 0.332 0.753
Cu: 0.165 0.835 0.000
Cu: 0.170 0.830 0.500
Cu: 0.500 0.500 0.000
Cu: 0.830 0.170 0.500
Cu: 0.835 0.165 0.000
Au: 0.500 0.500 0.500

The following is a PBE calculation of a relaxed structure of Cs2YRh, from Alexandria via LeMat-Bulk.

Results
**Total energy**: -3.469 eV/atom
**Energy above the lowest structure with this stoichiometry**: 0 meV per atom
**Calculated formation energy**: 0.412 eV/atom
**Symmetry**: I-42d (122)

Cell lengths 10.126, 10.126, 10.126 Å; angles 93.62, 93.62, 150.88 degrees
Positions (direct):
Cs: 0.375 0.037 0.162
Cs: 0.787 0.625 0.662
Cs: 0.875 0.213 0.838
Cs: 0.963 0.125 0.338
Y: 0.250 0.750 0.500
Y: 0.500 0.500 0.000
Rh: 0.000 0.000 0.000
Rh: 0.750 0.250 0.500

The following is a PBE calculation of a relaxed structure of CdInGa2, from Alexandria via LeMat-Bulk.

Results
**Total energy**: -2.352 eV/atom
**Energy above the lowest structure with this stoichiometry**: 22 meV per atom
**Calculated formation energy**: 0.075 eV/atom
**Symmetry**: P2_1/m (11)

Cell lengths 4.893, 6.787, 5.885 Å; angles 90.00, 107.09, 90.00 degrees
Positions (direct):
Cd: 0.158 0.250 0.161
Cd: 0.842 0.750 0.839
In: 0.433 0.750 0.137
In: 0.567 0.250 0.863
Ga: 0.264 0.560 0.565
Ga: 0.264 0.940 0.565
Ga: 0.736 0.060 0.435
Ga: 0.736 0.440 0.435

The following is a PBE calculation of a relaxed structure of MnBeSi4, from Alexandria via LeMat-Bulk.

Results
**Total energy**: -5.214 eV/atom
**Symmetry**: F-43m (216)

Cell lengths 4.874, 4.874, 4.874 Å; angles 60.00, 60.00, 60.00 degrees
Positions (direct):
Mn: 0.000 0.000 0.000
Be: 0.250 0.250 0.250
Si: 0.125 0.625 0.625
Si: 0.625 0.125 0.625
Si: 0.625 0.625 0.125
Si: 0.625 0.625 0.625

The following is a PBE calculation of a relaxed structure of Tl3SbPb2, from Alexandria via LeMat-Bulk.

Results
**Total energy**: -3.084 eV/atom
**Symmetry**: Cmcm (63)

Cell lengths 7.620, 7.620, 6.881 Å; angles 90.00, 90.00, 99.34 degrees
Positions (direct):
Tl: 0.059 0.941 0.750
Tl: 0.075 0.587 0.250
Tl: 0.413 0.925 0.250
Tl: 0.587 0.075 0.750
Tl: 0.925 0.413 0.750
Tl: 0.941 0.059 0.250
Sb: 0.336 0.664 0.750
Sb: 0.664 0.336 0.250
Pb: 0.303 0.303 0.000
Pb: 0.303 0.303 0.500
Pb: 0.697 0.697 0.000
Pb: 0.697 0.697 0.500